# PBE HfZrCoPd, relaxed
data_HfZrCoPd
_cell_length_a 6.5199
_cell_length_b 6.5199
_cell_length_c 6.5199
_cell_angle_alpha 90.00
_cell_angle_beta 90.00
_cell_angle_gamma 90.00
_symmetry_space_group_name_H-M 'F -4 3 m'
_symmetry_Int_Tables_number 216
_symmetry_space_group_name_Hall 'F -4 2 3'
loop_
_atom_site_label
_atom_site_type_symbol
_atom_site_fract_x
_atom_site_fract_y
_atom_site_fract_z
Hf1 Hf 0.0000 0.0000 0.0000
Zr1 Zr 0.0000 0.0000 0.5000
Co1 Co 0.2500 0.2500 0.2500
Pd1 Pd 0.2500 0.2500 0.7500
# * crystal system: cubic
# * E_form: -0.4347 eV per atom

---

# PBE PmHfCoRu, relaxed
data_PmHfCoRu
_cell_length_a 6.6636
_cell_length_b 6.6636
_cell_length_c 6.6636
_cell_angle_alpha 90.00
_cell_angle_beta 90.00
_cell_angle_gamma 90.00
_symmetry_space_group_name_H-M 'F -4 3 m'
_symmetry_Int_Tables_number 216
_symmetry_space_group_name_Hall 'F -4 2 3'
loop_
_atom_site_label
_atom_site_type_symbol
_atom_site_fract_x
_atom_site_fract_y
_atom_site_fract_z
Pm1 Pm 0.0000 0.0000 0.0000
Hf1 Hf 0.0000 0.0000 0.5000
Co1 Co 0.2500 0.2500 0.2500
Ru1 Ru 0.2500 0.2500 0.7500
# * crystal system: cubic
# * E_form: -0.2235 eV per atom

---

# PBE Pr2HfCo, relaxed
data_Pr2HfCo
_cell_length_a 3.4341
_cell_length_b 3.4341
_cell_length_c 30.9396
_cell_angle_alpha 90.00
_cell_angle_beta 90.00
_cell_angle_gamma 120.00
_symmetry_space_group_name_H-M 'R -3 m'
_symmetry_Int_Tables_number 166
_symmetry_space_group_name_Hall '-R 3 2"'
loop_
_atom_site_label
_atom_site_type_symbol
_atom_site_fract_x
_atom_site_fract_y
_atom_site_fract_z
Pr1 Pr 0.0000 0.0000 0.1050
Hf1 Hf 0.0000 0.0000 0.0000
Co1 Co 0.0000 0.0000 0.5000
# * crystal system: trigonal
# * E_form: 0.5602 eV per atom

---

# PBE PrHfCo4, relaxed
data_PrHfCo4
_cell_length_a 7.1131
_cell_length_b 7.1131
_cell_length_c 7.1131
_cell_angle_alpha 90.00
_cell_angle_beta 90.00
_cell_angle_gamma 90.00
_symmetry_space_group_name_H-M 'F -4 3 m'
_symmetry_Int_Tables_number 216
_symmetry_space_group_name_Hall 'F -4 2 3'
loop_
_atom_site_label
_atom_site_type_symbol
_atom_site_fract_x
_atom_site_fract_y
_atom_site_fract_z
Pr1 Pr 0.0000 0.0000 0.0000
Hf1 Hf 0.2500 0.2500 0.2500
Co1 Co 0.1235 0.1235 0.6235
# * crystal system: cubic
# * E_form: -0.0798 eV per atom

---

# PBE PrHfCo10, relaxed
data_PrHfCo10
_cell_length_a 3.9696
_cell_length_b 4.8569
_cell_length_c 8.4959
_cell_angle_alpha 90.00
_cell_angle_beta 90.00
_cell_angle_gamma 90.00
_symmetry_space_group_name_H-M 'P m m m'
_symmetry_Int_Tables_number 47
_symmetry_space_group_name_Hall '-P 2 2'
loop_
_atom_site_label
_atom_site_type_symbol
_atom_site_fract_x
_atom_site_fract_y
_atom_site_fract_z
Pr1 Pr 0.0000 0.0000 0.0000
Hf1 Hf 0.0000 0.5000 0.5000
Co1 Co 0.0000 0.0000 0.3463
Co2 Co 0.0000 0.5000 0.1879
Co3 Co 0.5000 0.0000 0.5000
Co4 Co 0.5000 0.2574 0.2616
Co5 Co 0.5000 0.5000 0.0000
# * crystal system: orthorhombic
# * E_form: -0.0687 eV per atom

---

# PBE HfCo4Pt, relaxed
data_HfCo4Pt
_cell_length_a 6.7935
_cell_length_b 6.7935
_cell_length_c 6.7935
_cell_angle_alpha 90.00
_cell_angle_beta 90.00
_cell_angle_gamma 90.00
_symmetry_space_group_name_H-M 'F -4 3 m'
_symmetry_Int_Tables_number 216
_symmetry_space_group_name_Hall 'F -4 2 3'
loop_
_atom_site_label
_atom_site_type_symbol
_atom_site_fract_x
_atom_site_fract_y
_atom_site_fract_z
Hf1 Hf 0.0000 0.0000 0.0000
Co1 Co 0.1239 0.1239 0.3761
Pt1 Pt 0.2500 0.2500 0.7500
# * crystal system: cubic
# * E_form: -0.3619 eV per atom

---

# PBE HfCo3Pt, relaxed
data_HfCo3Pt
_cell_length_a 4.4173
_cell_length_b 4.4173
_cell_length_c 4.4173
_cell_angle_alpha 90.00
_cell_angle_beta 90.00
_cell_angle_gamma 90.00
_symmetry_space_group_name_H-M 'P m -3 m'
_symmetry_Int_Tables_number 221
_symmetry_space_group_name_Hall '-P 4 2 3'
loop_
_atom_site_label
_atom_site_type_symbol
_atom_site_fract_x
_atom_site_fract_y
_atom_site_fract_z
Hf1 Hf 0.0000 0.0000 0.0000
Co1 Co 0.0000 0.0000 0.5000
Pt1 Pt 0.5000 0.5000 0.5000
# * ΔE to the lowest computed polymorph: 405.7 meV/atom
# * crystal system: cubic
# * E_form: 1.4052 eV per atom

---

# PBE Hf6CoPt2, relaxed
data_Hf6CoPt2
_cell_length_a 3.3746
_cell_length_b 13.7242
_cell_length_c 7.4789
_cell_angle_alpha 90.00
_cell_angle_beta 90.00
_cell_angle_gamma 90.00
_symmetry_space_group_name_H-M 'A m m 2'
_symmetry_Int_Tables_number 38
_symmetry_space_group_name_Hall 'A 2 -2'
loop_
_atom_site_label
_atom_site_type_symbol
_atom_site_fract_x
_atom_site_fract_y
_atom_site_fract_z
Hf1 Hf 0.0000 0.0000 0.0000
Hf2 Hf 0.0000 0.1298 0.6579
Hf3 Hf 0.5000 0.0000 0.3550
Hf4 Hf 0.5000 0.1924 0.9993
Co1 Co 0.5000 0.0000 0.7344
Pt1 Pt 0.0000 0.1609 0.2945
# * ΔE to the lowest computed polymorph: 0.0 meV/atom
# * crystal system: orthorhombic
# * E_form: -0.5876 eV per atom

---

# PBE HfCoPt, relaxed
data_HfCoPt
_cell_length_a 4.1892
_cell_length_b 4.1892
_cell_length_c 3.2531
_cell_angle_alpha 90.00
_cell_angle_beta 90.00
_cell_angle_gamma 120.00
_symmetry_space_group_name_H-M 'P -6 m 2'
_symmetry_Int_Tables_number 187
_symmetry_space_group_name_Hall 'P -6 2'
loop_
_atom_site_label
_atom_site_type_symbol
_atom_site_fract_x
_atom_site_fract_y
_atom_site_fract_z
Hf1 Hf 0.0000 0.0000 0.0000
Co1 Co 0.6667 0.3333 0.5000
Pt1 Pt 0.3333 0.6667 0.5000
# * crystal system: hexagonal
# * E_form: -0.4838 eV per atom

---

# PBE HfCo2Pt2, relaxed
data_HfCo2Pt2
_cell_length_a 7.2756
_cell_length_b 7.2756
_cell_length_c 2.8502
_cell_angle_alpha 90.00
_cell_angle_beta 90.00
_cell_angle_gamma 90.00
_symmetry_space_group_name_H-M 'P 4/m b m'
_symmetry_Int_Tables_number 127
_symmetry_space_group_name_Hall '-P 4 2ab'
loop_
_atom_site_label
_atom_site_type_symbol
_atom_site_fract_x
_atom_site_fract_y
_atom_site_fract_z
Hf1 Hf 0.0000 0.0000 0.0000
Co1 Co 0.1662 0.3338 0.5000
Pt1 Pt 0.1327 0.6327 0.0000
# * ΔE to the lowest computed polymorph: 133.7 meV/atom
# * crystal system: tetragonal
# * E_form: -0.2526 eV per atom

---

# PBE Hf2Co2Pt, relaxed
data_Hf2Co2Pt
_cell_length_a 4.1763
_cell_length_b 5.1784
_cell_length_c 7.3009
_cell_angle_alpha 90.00
_cell_angle_beta 90.00
_cell_angle_gamma 90.00
_symmetry_space_group_name_H-M 'I m m m'
_symmetry_Int_Tables_number 71
_symmetry_space_group_name_Hall '-I 2 2'
loop_
_atom_site_label
_atom_site_type_symbol
_atom_site_fract_x
_atom_site_fract_y
_atom_site_fract_z
Hf1 Hf 0.0000 0.0000 0.2118
Co1 Co 0.0000 0.2888 0.5000
Pt1 Pt 0.0000 0.5000 0.0000
# * ΔE to the lowest computed polymorph: 40.4 meV/atom
# * crystal system: orthorhombic
# * E_form: -0.5867 eV per atom

---

# PBE HfCo2Pt2, relaxed
data_HfCo2Pt2
_cell_length_a 6.5455
_cell_length_b 6.5455
_cell_length_c 3.4510
_cell_angle_alpha 90.00
_cell_angle_beta 90.00
_cell_angle_gamma 90.00
_symmetry_space_group_name_H-M 'P 4/m b m'
_symmetry_Int_Tables_number 127
_symmetry_space_group_name_Hall '-P 4 2ab'
loop_
_atom_site_label
_atom_site_type_symbol
_atom_site_fract_x
_atom_site_fract_y
_atom_site_fract_z
Hf1 Hf 0.0000 0.0000 0.0000
Co1 Co 0.1279 0.3721 0.0000
Pt1 Pt 0.1670 0.6670 0.5000
# * ΔE to the lowest computed polymorph: 37.3 meV/atom
# * crystal system: tetragonal
# * E_form: -0.3491 eV per atom

---

We obtain N(E_F) values of 0.70 0.35 1.45 1.27 1.44 1.32 1.60 0.90 1.20 0.99 1.06 0.84 states/eV/atom for the records listed above, in that order.